Arrangement a

# CePu2Ge3 (PBE, relaxed)
data_CePu2Ge3
_chemical_formula_sum 'Ce4 Pu8 Ge12'
_space_group_name_H-M_alt 'C 1 2/c 1'
_space_group_IT_number 15
_cell_length_a 9.7266
_cell_length_b 6.0219
_cell_length_c 9.7387
_cell_angle_alpha 90.00
_cell_angle_beta 112.71
_cell_angle_gamma 90.00
loop_
_space_group_symop_operation_xyz
'x,y,z'
'-x,-y,-z'
'-x,y,-z+1/2'
'x,-y,z+1/2'
'x+1/2,y+1/2,z'
'-x+1/2,-y+1/2,-z'
'-x+1/2,y+1/2,-z+1/2'
'x+1/2,-y+1/2,z+1/2'
loop_
_atom_site_label
_atom_site_fract_x
_atom_site_fract_y
_atom_site_fract_z
_atom_site_occupancy
Ce1 0.0000 0.1457 0.2500 1
Pu1 0.1599 0.3529 0.0822 1
Ge1 0.0000 0.3545 0.7500 1
Ge2 0.1724 0.1482 0.5859 1
# Density   10.680 g/cm3
# Volume   21.92 Å³/atom
# Magnetization   44.6 μB/cell


Arrangement b

# CePu2Ge3 (PBE, relaxed)
data_CePu2Ge3
_chemical_formula_sum 'Ce1 Pu2 Ge3'
_space_group_name_H-M_alt 'P 4/m m m'
_space_group_IT_number 123
_space_group_name_Hall '-P 4 2'
_cell_length_a 3.2696
_cell_length_b 3.2696
_cell_length_c 12.4411
_cell_angle_alpha 90.00
_cell_angle_beta 90.00
_cell_angle_gamma 90.00
loop_
_atom_site_label
_atom_site_fract_x
_atom_site_fract_y
_atom_site_fract_z
_atom_site_occupancy
Ce1 0.0000 0.0000 0.0000 1
Pu1 0.0000 0.0000 0.3338 1
Ge1 0.5000 0.5000 0.1696 1
Ge2 0.5000 0.5000 0.5000 1
# Density   10.563 g/cm3
# Volume   22.17 Å³/atom
# Magnetization   11.4 μB/cell


Which one sits at the bottom of the stability order? arrangement a does.


Arrangement a

# Ce3Pu2Ge4 (PBE, relaxed)
data_Ce3Pu2Ge4
_chemical_formula_sum 'Ce6 Pu4 Ge8'
_space_group_name_H-M_alt 'P 1 21/c 1'
_space_group_IT_number 14
_cell_length_a 7.8953
_cell_length_b 7.8653
_cell_length_c 7.7514
_cell_angle_alpha 90.00
_cell_angle_beta 112.92
_cell_angle_gamma 90.00
loop_
_space_group_symop_operation_xyz
'x,y,z'
'-x,-y,-z'
'-x,y+1/2,-z+1/2'
'x,-y+1/2,z+1/2'
loop_
_atom_site_label
_atom_site_fract_x
_atom_site_fract_y
_atom_site_fract_z
_atom_site_occupancy
Ce1 0.0000 0.0000 0.0000 1
Ce2 0.3161 0.1934 0.4449 1
Pu1 0.2640 0.6707 0.2954 1
Ge1 0.0059 0.1202 0.6151 1
Ge2 0.4221 0.5328 0.6862 1
# Density   8.981 g/cm3
# Volume   24.63 Å³/atom
# Magnetization   27.2 μB/cell


Arrangement b

# Ce3Pu2Ge4 (PBE, relaxed)
data_Ce3Pu2Ge4
_chemical_formula_sum 'Ce12 Pu8 Ge16'
_space_group_name_H-M_alt 'C m c e'
_space_group_IT_number 64
_space_group_name_Hall '-C 2ac 2'
_cell_length_a 8.1500
_cell_length_b 14.3220
_cell_length_c 8.0501
_cell_angle_alpha 90.00
_cell_angle_beta 90.00
_cell_angle_gamma 90.00
loop_
_atom_site_label
_atom_site_fract_x
_atom_site_fract_y
_atom_site_fract_z
_atom_site_occupancy
Ce1 0.0000 0.0000 0.0000 1
Ce2 0.2500 0.2315 0.2500 1
Pu1 0.0000 0.0965 0.5208 1
Ge1 0.0000 0.2015 0.9848 1
Ge2 0.2500 0.0140 0.2500 1
# Density   8.475 g/cm3
# Volume   26.10 Å³/atom
# Magnetization   47.5 μB/cell


Which one sits at the bottom of the stability order? arrangement b does.


Arrangement a

# CePu5Ge3 (PBE, relaxed)
data_CePu5Ge3
_chemical_formula_sum 'Ce2 Pu10 Ge6'
_space_group_name_H-M_alt 'P 63/m c m'
_space_group_IT_number 193
_space_group_name_Hall '-P 6c 2'
_cell_length_a 8.8536
_cell_length_b 8.8536
_cell_length_c 6.3135
_cell_angle_alpha 90.00
_cell_angle_beta 90.00
_cell_angle_gamma 120.00
loop_
_atom_site_label
_atom_site_fract_x
_atom_site_fract_y
_atom_site_fract_z
_atom_site_occupancy
Ce1 0.0000 0.0000 0.0000 1
Pu1 0.0000 0.3367 0.2500 1
Pu2 0.3333 0.6667 0.0000 1
Ge1 0.0000 0.3304 0.7500 1
# Density   12.228 g/cm3
# Volume   23.81 Å³/atom
# Magnetization   61.4 μB/cell


Arrangement b

# CePu5Ge3 (PBE, relaxed)
data_CePu5Ge3
_chemical_formula_sum 'Ce4 Pu20 Ge12'
_space_group_name_H-M_alt 'I 4/m c m'
_space_group_IT_number 140
_space_group_name_Hall '-I 4 2c'
_cell_length_a 8.2143
_cell_length_b 8.2143
_cell_length_c 12.3083
_cell_angle_alpha 90.00
_cell_angle_beta 90.00
_cell_angle_gamma 90.00
loop_
_atom_site_label
_atom_site_fract_x
_atom_site_fract_y
_atom_site_fract_z
_atom_site_occupancy
Ce1 0.0000 0.5000 0.2500 1
Pu1 0.0000 0.0000 0.0000 1
Pu2 0.2007 0.2993 0.1420 1
Ge1 0.0000 0.0000 0.2500 1
Ge2 0.1073 0.3927 0.5000 1
# Density   12.621 g/cm3
# Volume   23.07 Å³/atom
# Magnetization   68.8 μB/cell


Which one sits at the bottom of the stability order? arrangement b does.


Arrangement a

# CePuGeRh (PBE, relaxed)
data_CePuGeRh
_chemical_formula_sum 'Ce1 Pu1 Ge1 Rh1'
_space_group_name_H-M_alt 'P 3 m 1'
_space_group_IT_number 156
_cell_length_a 4.5967
_cell_length_b 4.5967
_cell_length_c 5.2899
_cell_angle_alpha 90.00
_cell_angle_beta 90.00
_cell_angle_gamma 120.00
loop_
_space_group_symop_operation_xyz
'x,y,z'
'-y,x-y,z'
'-x+y,-x,z'
'-y,-x,z'
'-x+y,y,z'
'x,x-y,z'
loop_
_atom_site_label
_atom_site_fract_x
_atom_site_fract_y
_atom_site_fract_z
_atom_site_occupancy
Ce1 0.0000 0.0000 0.0000 1
Pu1 0.3333 0.6667 0.5346 1
Ge1 0.6667 0.3333 0.2702 1
Rh1 0.6667 0.3333 0.7674 1
# Density   9.601 g/cm3
# Volume   24.20 Å³/atom
# Magnetization   6.5 μB/cell


Arrangement b

# CePuGeRh (PBE, relaxed)
data_CePuGeRh
_chemical_formula_sum 'Ce4 Pu4 Ge4 Rh4'
_space_group_name_H-M_alt 'F -4 3 m'
_space_group_IT_number 216
_space_group_name_Hall 'F -4 2 3'
_cell_length_a 7.0570
_cell_length_b 7.0570
_cell_length_c 7.0570
_cell_angle_alpha 90.00
_cell_angle_beta 90.00
_cell_angle_gamma 90.00
loop_
_atom_site_label
_atom_site_fract_x
_atom_site_fract_y
_atom_site_fract_z
_atom_site_occupancy
Ce1 0.0000 0.0000 0.0000 1
Pu1 0.0000 0.0000 0.5000 1
Ge1 0.2500 0.2500 0.2500 1
Rh1 0.2500 0.2500 0.7500 1
# Density   10.577 g/cm3
# Volume   21.97 Å³/atom
# Magnetization   21.4 μB/cell


Which one sits at the bottom of the stability order? arrangement b does.